Record 1
The following is a PBE calculation of a relaxed V4CrRh2 crystal, from Alexandria via LeMat-Bulk.

Unit cell a=4.2062 b=4.2062 c=12.4804 alpha=90.00 beta=90.00 gamma=90.00
Last column: nearest neighbours and their distance in Å.
Space group I4/mmm (No. 139)
Inequivalent atoms, fractional coordinates:
V  0.0000  0.0000  0.1871 (multiplicity 4)  1 Rh 2.33, 1 Cr 2.33
V  0.0000  0.5000  0.0000 (multiplicity 4)  2 Cr 2.10
Cr  0.0000  0.0000  0.0000 (multiplicity 2)  6 V 2.10-2.33
Rh  0.0000  0.0000  0.3735 (multiplicity 4)  1 V 2.33

Summary:
formation energy: 59.1 kJ per mole of atoms
M_tot: 2.27 μB per formula unit
ρ: 6.94 g/cm3



Record 2
The following is a PBE calculation of a relaxed YbTe crystal, from Alexandria via LeMat-Bulk.

Unit cell a=6.3152 b=6.3152 c=6.3152 alpha=90.00 beta=90.00 gamma=90.00
Last column: nearest neighbours and their distance in Å.
Space group Fm-3m (No. 225)
Inequivalent atoms, fractional coordinates:
Yb  0.0000  0.0000  0.0000 (multiplicity 4)  6 Te 3.16
Te  0.0000  0.0000  0.5000 (multiplicity 4)  6 Yb 3.16

Summary:
M_tot: 0.24 μB per formula unit
energy relative to the elements, uncorrected: -1.594 eV/atom
ρ: 7.93 g/cm3



Record 3
The following is a PBE calculation of a relaxed SrLa2AgRh crystal, from Alexandria via LeMat-Bulk.

Unit cell a=5.4142 b=5.4142 c=5.6630 alpha=90.00 beta=90.00 gamma=90.00
Last column: nearest neighbours and their distance in Å.
Space group P4/mmm (No. 123)
Inequivalent atoms, fractional coordinates:
Sr  0.0000  0.0000  0.0000 (multiplicity 1)  4 Ag 3.83, 8 La 3.92
La  0.0000  0.5000  0.5000 (multiplicity 2)  2 Rh 2.71
Ag  0.5000  0.5000  0.0000 (multiplicity 1)  2 Rh 2.83
Rh  0.5000  0.5000  0.5000 (multiplicity 1)  4 La 2.71, 2 Ag 2.83

Summary:
formation energy: -20.2 kJ per mole of atoms
M_tot: 0.00 μB per formula unit
E above lowest polymorph: 0.46 kcal/mol of atoms
ρ: 5.76 g/cm3



Result set for uncorrected energy: -8.07; -3.93; -4.56 eV/atom, one per record in the order listed.